# 1
The following is a PBE calculation of a relaxed Ta2NiB2Ru5 crystal, from Alexandria.

CIF file:
```
data_Ta2NiB2Ru5
_cell_length_a 9.2260
_cell_length_b 9.2260
_cell_length_c 3.0077
_cell_angle_alpha 90.00
_cell_angle_beta 90.00
_cell_angle_gamma 90.00
_space_group_name_H-M_alt 'P 4/m b m'
_space_group_IT_number 127
_space_group_name_Hall '-P 4 2ab'
loop_
_atom_site_label
_atom_site_type_symbol
_atom_site_fract_x
_atom_site_fract_y
_atom_site_fract_z
Ta1 Ta 0.1774 0.3226 0.0000
Ni1 Ni 0.0000 0.0000 0.0000
B1 B 0.1253 0.6253 0.0000
Ru1 Ru 0.0000 0.5000 0.5000
Ru2 Ru 0.0727 0.7874 0.5000
```

The formation energy comes out at -374 kJ/mol of formula units.


# 2
The following is a PBE calculation of a relaxed TcAsS2Cl crystal, from Alexandria.

CIF file:
```
data_TcAsS2Cl
_cell_length_a 4.8662
_cell_length_b 4.8662
_cell_length_c 4.7628
_cell_angle_alpha 90.00
_cell_angle_beta 90.00
_cell_angle_gamma 90.00
_space_group_name_H-M_alt 'P 4/m m m'
_space_group_IT_number 123
_space_group_name_Hall '-P 4 2'
loop_
_atom_site_label
_atom_site_type_symbol
_atom_site_fract_x
_atom_site_fract_y
_atom_site_fract_z
Tc1 Tc 0.0000 0.0000 0.0000
As1 As 0.5000 0.5000 0.5000
S1 S 0.0000 0.5000 0.5000
Cl1 Cl 0.5000 0.5000 0.0000
```

The distance to the lowest polymorph of the same formula comes out at 393 meV per atom. For the uncorrected formation energy, the calculation gives 4.01 eV per formula unit.


# 3
The following is a PBE calculation of a relaxed Sr2MgZnCu2 crystal, from Alexandria.

CIF file:
```
data_Sr2MgZnCu2
_cell_length_a 6.2514
_cell_length_b 15.2070
_cell_length_c 6.3441
_cell_angle_alpha 90.00
_cell_angle_beta 90.00
_cell_angle_gamma 90.00
_space_group_name_H-M_alt 'I b a m'
_space_group_IT_number 72
_space_group_name_Hall '-I 2 2c'
loop_
_atom_site_label
_atom_site_type_symbol
_atom_site_fract_x
_atom_site_fract_y
_atom_site_fract_z
Sr1 Sr 0.2428 0.1679 0.0000
Mg1 Mg 0.0000 0.5000 0.2500
Zn1 Zn 0.0000 0.0000 0.2500
Cu1 Cu 0.2370 0.0974 0.5000
```

The formation energy comes out at -58 kJ/mol of formula units.